# 1
First-principles (PBE) data for crystalline MgCo2HgC at its relaxed geometry, as listed in Alexandria.

```
MgCo2HgC
1.0
4.938 0.000 0.000
0.000 3.949 0.000
0.000 0.000 4.938
C Mg Co Hg
1 1 2 1
Direct
0.000 0.500 0.000 C
0.500 0.500 0.500 Mg
0.000 0.000 0.500 Co
0.500 0.000 0.000 Co
0.000 0.000 0.000 Hg
```

***

# 2
First-principles (PBE) data for crystalline MnCo2HgC at its relaxed geometry, as listed in Alexandria.

```
MnCo2HgC
1.0
4.544 0.000 0.000
0.000 3.638 0.000
0.000 0.000 4.544
C Mn Co Hg
1 1 2 1
Direct
0.000 0.500 0.000 C
0.000 0.000 0.000 Mn
0.000 0.000 0.500 Co
0.500 0.000 0.000 Co
0.500 0.500 0.500 Hg
```

***

# 3
First-principles (PBE) data for crystalline MnCo2HgC at its relaxed geometry, as listed in Alexandria.

```
MnCo2HgC
1.0
4.721 0.000 0.000
0.000 4.818 0.000
0.000 0.000 4.721
C Mn Co Hg
1 1 2 1
Direct
0.500 0.500 0.500 C
0.000 0.500 0.000 Mn
0.000 0.000 0.500 Co
0.500 0.000 0.000 Co
0.000 0.000 0.000 Hg
```

***

# 4
First-principles (PBE) data for crystalline NbCo2HgC at its relaxed geometry, as listed in Alexandria.

```
NbCo2HgC
1.0
3.851 0.000 0.000
0.000 4.658 0.000
0.000 0.000 3.851
C Nb Co Hg
1 1 2 1
Direct
0.000 0.000 0.000 C
0.500 0.500 0.500 Nb
0.000 0.000 0.500 Co
0.500 0.000 0.000 Co
0.000 0.500 0.000 Hg
```

***

# 5
First-principles (PBE) data for crystalline Nd2CoHgC at its relaxed geometry, as listed in Alexandria.

```
Nd2CoHgC
1.0
3.681 0.000 0.000
0.000 5.326 0.000
0.000 0.000 5.326
Nd Co Hg C
2 1 1 1
Direct
0.000 0.000 0.500 Nd
0.000 0.500 0.000 Nd
0.500 0.000 0.000 Co
0.500 0.500 0.500 Hg
0.000 0.000 0.000 C
```

***

Number 1: E -3.148 eV per atom, ΔE_f 1918 meV/atom. Number 2: E -5.307 eV per atom, ΔE_f 1274 meV/atom. Number 3: E -3.387 eV per atom, ΔE_f 3194 meV/atom. Number 4: E -5.999 eV per atom, ΔE_f 762 meV/atom. Number 5: E -5.536 eV per atom, ΔE_f -303 meV/atom.